P:
Compound: RbRhN2
Source: Alexandria
Functional: PBE
Structure: relaxed

Cell lengths 5.9828, 5.9828, 5.9828 Å; angles 90.00, 90.00, 90.00 degrees
Last column: nearest neighbours and their distance in Å.
Space group Fm-3m (No. 225)
Inequivalent atoms, fractional coordinates:
Rb1 0.0000 0.0000 0.0000  8 N 2.59
Rh1 0.0000 0.0000 0.5000  8 N 2.59
N1 0.2500 0.2500 0.2500  4 Rb 2.59, 4 Rh 2.59

Calculated values
total magnetization: 0.0001 μB per atom


Q:
Compound: RbRhN2
Source: Alexandria
Functional: PBE
Structure: relaxed

Cell lengths 3.9344, 3.9344, 21.4240 Å; angles 90.00, 90.00, 120.00 degrees
Last column: nearest neighbours and their distance in Å.
Space group R-3m (No. 166, hexagonal axes)
Inequivalent atoms, fractional coordinates:
Rb1 0.0000 0.0000 0.0000  6 N 2.91
Rh1 0.0000 0.0000 0.5000  2 N 1.75
N1 0.0000 0.0000 0.4185  1 Rh 1.75

Calculated values
total magnetization: 0.0945 μB per atom


Least stable of them? P.